Record 1
The following is a GGA-PBE calculation of NdScTeO6 after structural relaxation, from Alexandria.

## Properties
Uncorrected formation energy = -22.108 eV/f.u.
Total magnetization = 0.00 μB/cell
Calculated volume = 126 Å³/f.u.

Lattice parameters (Å, degrees): 5.3781 5.3781 10.0973 90.00 90.00 120.00
Last column: nearest neighbours and their distance in Å.
Space group P-31c (No. 163)
Unique sites:
Nd  0.0000  0.0000  0.0000 (multiplicity 2)  6 O 2.42
Sc  0.3333  0.6667  0.2500 (multiplicity 2)  6 O 2.12
Te  0.3333  0.6667  0.7500 (multiplicity 2)  6 O 1.95
O  0.0237  0.3758  0.6414 (multiplicity 12)  1 Te 1.95, 1 Sc 2.12

---

Record 2
The following is a GGA-PBE calculation of Dy2Ga3Cu4 after structural relaxation, from Alexandria.

## Properties
Total magnetization = 0.00 μB/cell
Calculated volume = 153 Å³/f.u.
DFT formation energy = -0.347 eV/atom

Lattice parameters (Å, degrees): 5.5101 15.1112 7.3561 90.00 90.00 90.00
Last column: nearest neighbours and their distance in Å.
Space group Cmce (No. 64)
Unique sites:
Dy  0.0000  0.1047  0.0969 (multiplicity 8)  7 Cu 2.95-3.15, 4 Ga 3.01-3.26
Ga  0.0000  0.0000  0.5000 (multiplicity 4)  6 Cu 2.51-2.61
Ga  0.2500  0.2343  0.7500 (multiplicity 8)  5 Cu 2.52-2.64, 2 Ga 2.76
Cu  0.0000  0.1727  0.4897 (multiplicity 8)  5 Ga 2.54-2.64
Cu  0.2500  0.0672  0.7500 (multiplicity 8)  3 Ga 2.51-2.52, 2 Cu 2.76

---

Record 3
The following is a GGA-PBE calculation of NaCaHfMoPd after structural relaxation, from Alexandria.

## Properties
Total magnetization = 1.04 μB/cell
Calculated volume = 116 Å³/f.u.
DFT formation energy = 0.219 eV/atom

Lattice parameters (Å, degrees): 3.2609 4.5646 15.6470 90.00 90.00 90.00
Last column: nearest neighbours and their distance in Å.
Space group Imm2 (No. 44)
Unique sites:
Na  0.0000  0.0000  0.0000 (multiplicity 2)  4 Pd 2.89, 2 Mo 3.21
Ca  0.0000  0.0000  0.6497 (multiplicity 2)  1 Pd 3.05, 2 Mo 3.17, 2 Ca 3.26
Hf  0.0000  0.5000  0.8170 (multiplicity 2)  2 Pd 2.71, 4 Mo 2.81
Mo  0.0000  0.5000  0.3234 (multiplicity 2)  4 Hf 2.81, 2 Pd 3.07
Pd  0.0000  0.0000  0.4551 (multiplicity 2)  2 Hf 2.71, 4 Na 2.89

---

Record 4
The following is a GGA-PBE calculation of Li2Tb3Hg3 after structural relaxation, from Alexandria.

## Properties
Total magnetization = 0.01 μB/cell
Calculated volume = 195 Å³/f.u.
DFT formation energy = -0.330 eV/atom

Lattice parameters (Å, degrees): 3.7151 5.1642 20.3153 90.00 90.00 90.00
Last column: nearest neighbours and their distance in Å.
Space group Immm (No. 71)
Unique sites:
Li  0.0000  0.0000  0.2410 (multiplicity 4)  2 Hg 2.75
Tb  0.0000  0.0000  0.0000 (multiplicity 2)  8 Hg 3.18-3.42
Tb  0.0000  0.5000  0.1268 (multiplicity 4)  6 Hg 3.18-3.19, 4 Li 3.27-3.47
Hg  0.0000  0.0000  0.5000 (multiplicity 2)  8 Tb 3.18
Hg  0.0000  0.5000  0.3587 (multiplicity 4)  2 Li 2.75

---

Record 5
The following is a GGA-PBE calculation of BePd6Pt2 after structural relaxation, from Alexandria.

## Properties
Total magnetization = 0.00 μB/cell
Calculated volume = 134 Å³/f.u.
DFT formation energy = -0.117 eV/atom

Lattice parameters (Å, degrees): 7.0401 13.7030 2.8171 90.00 100.44 90.00
Last column: nearest neighbours and their distance in Å.
Space group C2/m (No. 12)
Unique sites:
Be  0.0000  0.0000  0.0000 (multiplicity 2)  4 Pt 2.39, 4 Pd 2.52-2.61
Pd  0.1642  0.3301  0.8159 (multiplicity 8)  7 Pd 2.63-2.82, 3 Pt 2.70-2.91
Pd  0.1908  0.5000  0.3300 (multiplicity 4)  2 Be 2.52-2.61, 6 Pd 2.72-2.82
Pt  0.0000  0.1411  0.5000 (multiplicity 4)  2 Be 2.39

---

Record 6
The following is a GGA-PBE calculation of Zn2SiTe after structural relaxation, from Alexandria.

## Properties
Uncorrected formation energy = 1.460 eV/f.u.
Total magnetization = 0.00 μB/cell
Calculated volume = 83 Å³/f.u.

Lattice parameters (Å, degrees): 3.8088 3.9518 5.5174 90.00 90.00 90.00
Last column: nearest neighbours and their distance in Å.
Space group Pmmm (No. 47)
Unique sites:
Zn  0.0000  0.0000  0.0000 (multiplicity 1)  4 Te 2.74
Zn  0.5000  0.0000  0.5000 (multiplicity 1)  4 Si 2.74
Si  0.0000  0.5000  0.5000 (multiplicity 1)  4 Zn 2.74
Te  0.5000  0.5000  0.0000 (multiplicity 1)  4 Zn 2.74

---

Record 7
The following is a GGA-PBE calculation of RbPm4In3O12 after structural relaxation, from Alexandria.

## Properties
Uncorrected formation energy = -43.934 eV/f.u.
Total magnetization = 4.42 μB/cell
Calculated volume = 325 Å³/f.u.

Lattice parameters (Å, degrees): 8.6660 8.6660 8.6660 90.00 90.00 90.00
Last column: nearest neighbours and their distance in Å.
Space group Im-3 (No. 204)
Unique sites:
Rb  0.0000  0.0000  0.0000 (multiplicity 2)  12 O 3.17
Pm  0.2500  0.2500  0.2500 (multiplicity 8)  6 O 2.37
In  0.0000  0.0000  0.5000 (multiplicity 6)  4 O 2.11
O  0.0000  0.1686  0.3241 (multiplicity 24)  1 In 2.11

---

Record 8
The following is a GGA-PBE calculation of Na2TlBi2Pd5 after structural relaxation, from Alexandria.

## Properties
Total magnetization = 0.00 μB/cell
Calculated volume = 216 Å³/f.u.
DFT formation energy = -0.206 eV/atom

Lattice parameters (Å, degrees): 10.9006 10.9006 3.6310 90.00 90.00 90.00
Last column: nearest neighbours and their distance in Å.
Space group P4/mbm (No. 127)
Unique sites:
Na  0.1660  0.3340  0.0000 (multiplicity 4)  3 Bi 3.04-3.31, 6 Pd 3.14-3.30
Tl  0.0000  0.0000  0.0000 (multiplicity 2)  8 Pd 2.80
Bi  0.1367  0.6367  0.0000 (multiplicity 4)  6 Pd 2.78-2.81, 1 Na 3.04
Pd  0.0000  0.5000  0.5000 (multiplicity 2)  4 Bi 2.78
Pd  0.0427  0.8089  0.5000 (multiplicity 8)  2 Tl 2.80, 2 Bi 2.81, 2 Pd 3.02

---

Record 9
The following is a GGA-PBE calculation of La3PSe2 after structural relaxation, from Alexandria.

## Properties
Uncorrected formation energy = -11.484 eV/f.u.
Total magnetization = 0.00 μB/cell
Calculated volume = 169 Å³/f.u.

Lattice parameters (Å, degrees): 7.4749 12.8960 7.4373 90.00 109.49 90.00
Last column: nearest neighbours and their distance in Å.
Space group C2/c (No. 15)
Unique sites:
La  0.2344  0.0782  0.9998 (multiplicity 8)  2 P 2.95-2.97, 4 Se 3.04-3.14
La  0.2500  0.2500  0.5000 (multiplicity 4)  2 P 3.02, 4 Se 3.04
P  0.0000  0.0856  0.2500 (multiplicity 4)  6 La 2.95-3.02
Se  0.0000  0.2528  0.7500 (multiplicity 4)  6 La 3.04-3.11
Se  0.0000  0.4169  0.2500 (multiplicity 4)  6 La 3.04-3.14

---

Record 10
The following is a GGA-PBE calculation of KCo2Br after structural relaxation, from Alexandria.

## Properties
Uncorrected formation energy = 3.959 eV/f.u.
Total magnetization = 8.11 μB/cell
Calculated volume = 95 Å³/f.u.

Lattice parameters (Å, degrees): 5.5964 11.9435 2.8313 90.00 90.00 90.00
Last column: nearest neighbours and their distance in Å.
Space group Cmmm (No. 65)
Unique sites:
K  0.0000  0.0000  0.0000 (multiplicity 2)  2 Br 2.80, 2 K 2.83
Co  0.2500  0.2500  0.5000 (multiplicity 4)  4 Co 2.80-2.83
Br  0.0000  0.5000  0.0000 (multiplicity 2)  2 K 2.80, 2 Br 2.83

---

Record 11
The following is a GGA-PBE calculation of MgZr2S4 after structural relaxation, from Alexandria.

## Properties
Uncorrected formation energy = -10.135 eV/f.u.
Total magnetization = 0.00 μB/cell
Calculated volume = 138 Å³/f.u.

Lattice parameters (Å, degrees): 3.5930 11.9283 12.9053 90.00 90.00 90.00
Last column: nearest neighbours and their distance in Å.
Space group Cmcm (No. 63)
Unique sites:
Mg  0.0000  0.1095  0.2500 (multiplicity 4)  6 S 2.52-2.76
Zr  0.0000  0.3658  0.0646 (multiplicity 8)  6 S 2.55-2.65
S  0.0000  0.0000  0.0000 (multiplicity 4)  4 Zr 2.55
S  0.0000  0.2807  0.6232 (multiplicity 8)  3 Zr 2.62-2.63, 2 Mg 2.76
S  0.0000  0.4614  0.2500 (multiplicity 4)  2 Mg 2.52, 2 Zr 2.65

---

Record 12
The following is a GGA-PBE calculation of Ir2RhBr after structural relaxation, from Alexandria.

## Properties
Uncorrected formation energy = 3.898 eV/f.u.
Total magnetization = 0.00 μB/cell
Calculated volume = 63 Å³/f.u.

Lattice parameters (Å, degrees): 4.7446 4.7446 2.8086 90.00 90.00 90.00
Last column: nearest neighbours and their distance in Å.
Space group P4/mmm (No. 123)
Unique sites:
Ir  0.0000  0.5000  0.0000 (multiplicity 2)  4 Br 2.76, 4 Rh 2.76, 2 Ir 2.81
Rh  0.0000  0.0000  0.5000 (multiplicity 1)  8 Ir 2.76, 2 Rh 2.81
Br  0.5000  0.5000  0.5000 (multiplicity 1)  8 Ir 2.76, 2 Br 2.81

---

Look up the calculated volume of the tenth one.
95 Å³/f.u.

---

Among the records above, which one has the highest calculated volume?
RbPm4In3O12

---

What is the total magnetization in the ninth record?
0.00 μB/cell